No. 1
First-principles (PBE) data for crystalline TlFe2Tc at its relaxed geometry, as listed in the Alexandria database.

Calculated values
ΔE to the lowest computed polymorph	90	meV/atom
DOS(E_F)	3.0	states/eV/cell
energy relative to the elements	0.506	eV per atom

Structure (POSCAR):
```
TlFe2Tc
1.0
-1.595 3.927 2.952
-0.874 -1.044 4.983
3.526 -0.010 -3.775
Fe Tl Tc
2 1 1
Direct
0.980 0.980 0.000
0.762 0.262 0.500
0.241 0.741 0.500
0.517 0.517 0.000
```


No. 2
First-principles (PBE) data for crystalline Dy2TmPuBi4 at its relaxed geometry, as listed in the Alexandria database.

Calculated values
DOS(E_F)	17.5	states/eV/cell
energy relative to the elements	-0.698	eV per atom

Structure (POSCAR):
```
Dy2TmPuBi4
1.0
4.484 0.000 0.000
0.000 7.760 0.138
0.000 -2.708 7.278
Bi Dy Tm Pu
4 2 1 1
Direct
0.500 0.247 0.249
0.000 0.753 0.251
0.500 0.753 0.751
0.000 0.247 0.749
0.500 0.000 0.500
0.000 0.500 0.500
0.000 0.000 0.000
0.500 0.500 0.000
```


No. 3
First-principles (PBE) data for crystalline Ni2B2Mo at its relaxed geometry, as listed in the Alexandria database.

Calculated values
ΔE to the lowest computed polymorph	243	meV/atom
DOS(E_F)	8.9	states/eV/cell
energy relative to the elements	-0.020	eV per atom

Structure (POSCAR):
```
Ni2B2Mo
1.0
-0.269 -1.066 6.089
-5.350 -3.014 -0.764
1.263 -2.160 -0.322
B Ni Mo
4 4 2
Direct
0.851 0.649 0.000
0.649 0.149 0.000
0.351 0.851 0.000
0.149 0.351 0.000
0.645 0.855 0.500
0.145 0.645 0.500
0.855 0.355 0.500
0.355 0.145 0.500
0.500 0.500 0.000
0.000 0.000 0.000
```


No. 4
First-principles (PBE) data for crystalline AlTlCu at its relaxed geometry, as listed in the Alexandria database.

Calculated values
ΔE to the lowest computed polymorph	45	meV/atom
DOS(E_F)	1.0	states/eV/cell
energy relative to the elements	0.225	eV per atom

Structure (POSCAR):
```
AlTlCu
1.0
-0.099 -3.172 -0.881
2.117 2.052 -1.468
4.280 -1.330 4.313
Cu Al Tl
1 1 1
Direct
0.333 0.667 0.306
0.000 0.000 0.044
0.667 0.333 0.651
```


No. 5
First-principles (PBE) data for crystalline HoGeRh at its relaxed geometry, as listed in the Alexandria database.

Calculated values
DOS(E_F)	2.7	states/eV/cell
energy relative to the elements	-0.887	eV per atom

Structure (POSCAR):
```
HoGeRh
1.0
3.606 0.000 0.000
0.000 4.325 0.000
0.000 -2.162 3.745
Ho Rh Ge
1 1 1
Direct
0.667 0.667 0.333
0.167 0.000 0.000
0.167 0.333 0.667
```


No. 6
First-principles (PBE) data for crystalline Ce2HgF8 at its relaxed geometry, as listed in the Alexandria database.

Calculated values
uncorrected formation energy	-3.326	eV/atom
DOS(E_F)	10.8	states/eV/cell

Structure (POSCAR):
```
Ce2HgF8
1.0
-2.687 -1.459 -2.194
1.391 -5.409 1.893
-4.696 4.674 5.872
F Ce Hg
8 2 1
Direct
0.693 0.417 0.387
0.615 0.735 0.230
0.385 0.265 0.770
0.936 0.667 0.871
0.064 0.333 0.129
0.219 0.098 0.438
0.781 0.902 0.562
0.307 0.583 0.613
0.818 0.332 0.636
0.182 0.668 0.364
0.500 0.000 0.000
```


- What is the formula in the first record?
  TlFe2Tc


- DOS(E_F) of number 3 (Ni2B2Mo)?
  8.9 states/eV/cell


- Which value of DOS(E_F) does entry 2 give?
  17.5 states/eV/cell